{"formula": "TlH5Ir", "functional": "GGA-PBE", "state": "optimized geometry", "lattice_angstrom": [[0.575, -4.053, -4.798], [5.900, 1.773, 1.348], [-1.888, -1.344, 5.900]], "species": ["H", "H", "H", "H", "H", "H", "H", "H", "H", "H", "Ir", "Ir", "Tl", "Tl"], "fractional_positions": [[0.894, 0.751, 0.755], [0.109, 0.859, 0.861], [0.496, 0.139, 0.745], [0.498, 0.248, 0.639], [0.890, 0.140, 0.750], [0.502, 0.752, 0.361], [0.110, 0.860, 0.250], [0.504, 0.861, 0.255], [0.106, 0.249, 0.245], [0.891, 0.141, 0.139], [0.000, 0.000, 0.000], [0.500, 0.000, 0.500], [0.597, 0.347, 0.250], [0.403, 0.653, 0.750]], "total_energy_ev_per_atom": -3.840, "spacegroup": "C2/c (15)", "volume_a3_per_atom": 12.9, "n_ef_per_ev_cell": 0.856}